[1]
# GdTm3Te2C2, relaxed, DFT PBE
data_GdTm3Te2C2
_chemical_formula_sum 'Gd1 Tm3 Te2 C2'
_cell_length_a 3.7998
_cell_length_b 3.7998
_cell_length_c 13.9143
_cell_angle_alpha 90.00
_cell_angle_beta 90.00
_cell_angle_gamma 120.00
_symmetry_space_group_name_H-M 'P 3 m 1'
_symmetry_Int_Tables_number 156
loop_
_symmetry_equiv_pos_as_xyz
'x,y,z'
'-y,x-y,z'
'-x+y,-x,z'
'-y,-x,z'
'-x+y,y,z'
'x,x-y,z'
loop_
_atom_site_label
_atom_site_fract_x
_atom_site_fract_y
_atom_site_fract_z
Gd1 0.0000 0.0000 0.0000
Tm1 0.0000 0.0000 0.6826
Tm2 0.6667 0.3333 0.1882
Tm3 0.6667 0.3333 0.4997
Te1 0.0000 0.0000 0.3440
Te2 0.6667 0.3333 0.8378
C1 0.3333 0.6667 0.0967
C2 0.3333 0.6667 0.5910
# Energy: -49.82 eV/cell
# Spin magnetization: 0.00 μB/atom

[2]
# GdTmW2C3, relaxed, DFT PBE
data_GdTmW2C3
_chemical_formula_sum 'Gd2 Tm2 W4 C6'
_cell_length_a 11.810
_cell_length_b 3.317
_cell_length_c 5.710
_cell_angle_alpha 90.00
_cell_angle_beta 112.50
_cell_angle_gamma 90.00
_symmetry_space_group_name_H-M 'C 1 m 1'
_symmetry_Int_Tables_number 8
loop_
_symmetry_equiv_pos_as_xyz
'x,y,z'
'x,-y,z'
'x+1/2,y+1/2,z'
'x+1/2,-y+1/2,z'
loop_
_atom_site_label
_atom_site_fract_x
_atom_site_fract_y
_atom_site_fract_z
Gd1 0.000 0.000 0.000
Tm1 0.220 0.000 0.642
W1 0.264 0.500 0.143
W2 0.453 0.000 0.490
C1 0.110 0.500 0.811
C2 0.356 0.500 0.552
C3 0.358 0.000 0.081
# Energy: -130.23 eV/cell
# Spin magnetization: 0.00 μB/atom

[3]
# GdYC2, relaxed, DFT PBE
data_GdYC2
_chemical_formula_sum 'Gd2 Y2 C4'
_cell_length_a 3.928
_cell_length_b 5.716
_cell_length_c 6.786
_cell_angle_alpha 90.00
_cell_angle_beta 90.00
_cell_angle_gamma 90.00
_symmetry_space_group_name_H-M 'A m m 2'
_symmetry_Int_Tables_number 38
loop_
_symmetry_equiv_pos_as_xyz
'x,y,z'
'-x,-y,z'
'-x,y,z'
'x,-y,z'
'x,y+1/2,z+1/2'
'-x,-y+1/2,z+1/2'
'-x,y+1/2,z+1/2'
'x,-y+1/2,z+1/2'
loop_
_atom_site_label
_atom_site_fract_x
_atom_site_fract_y
_atom_site_fract_z
Gd1 0.000 0.000 0.000
Y1 0.500 0.000 0.558
C1 0.000 0.121 0.352
# Energy: -58.90 eV/cell
# Spin magnetization: 0.00 μB/atom

[4]
# Gd2Y2C3, relaxed, DFT PBE
data_Gd2Y2C3
_chemical_formula_sum 'Gd4 Y4 C6'
_cell_length_a 12.942
_cell_length_b 3.696
_cell_length_c 6.139
_cell_angle_alpha 90.00
_cell_angle_beta 113.80
_cell_angle_gamma 90.00
_symmetry_space_group_name_H-M 'C 1 2/m 1'
_symmetry_Int_Tables_number 12
loop_
_symmetry_equiv_pos_as_xyz
'x,y,z'
'-x,-y,-z'
'-x,y,-z'
'x,-y,z'
'x+1/2,y+1/2,z'
'-x+1/2,-y+1/2,-z'
'-x+1/2,y+1/2,-z'
'x+1/2,-y+1/2,z'
loop_
_atom_site_label
_atom_site_fract_x
_atom_site_fract_y
_atom_site_fract_z
Gd1 0.131 0.000 0.450
Y1 0.136 0.500 0.999
C1 0.000 0.000 0.000
C2 0.224 0.500 0.713
# Energy: -102.37 eV/cell
# Spin magnetization: 0.00 μB/atom

> Among the records above, which one has the lowest energy?

GdTmW2C3

> Which formula does entry 3 have?

GdYC2

Please write out number 2 again, unchanged.
# GdTmW2C3, relaxed, DFT PBE
data_GdTmW2C3
_chemical_formula_sum 'Gd2 Tm2 W4 C6'
_cell_length_a 11.810
_cell_length_b 3.317
_cell_length_c 5.710
_cell_angle_alpha 90.00
_cell_angle_beta 112.50
_cell_angle_gamma 90.00
_symmetry_space_group_name_H-M 'C 1 m 1'
_symmetry_Int_Tables_number 8
loop_
_symmetry_equiv_pos_as_xyz
'x,y,z'
'x,-y,z'
'x+1/2,y+1/2,z'
'x+1/2,-y+1/2,z'
loop_
_atom_site_label
_atom_site_fract_x
_atom_site_fract_y
_atom_site_fract_z
Gd1 0.000 0.000 0.000
Tm1 0.220 0.000 0.642
W1 0.264 0.500 0.143
W2 0.453 0.000 0.490
C1 0.110 0.500 0.811
C2 0.356 0.500 0.552
C3 0.358 0.000 0.081
# Energy: -130.23 eV/cell
# Spin magnetization: 0.00 μB/atom